PaCr2GaO6 | GGA+U | relaxed

Lattice parameters (Å, degrees): 5.3811 5.4497 5.7517 60.74 67.25 62.23
Each line ends with the local moment (μB).
Element x y z (fractional)
Pa  0.8143  0.8143  0.5476  0.17
Cr  0.5089  0.5153  0.4508  3.75
Cr  0.0426  0.0129  0.9324  3.75
Ga  0.2744  0.3392  0.0789  0.02
O  0.5493  0.2287  0.2790  0.01
O  0.2210  0.9417  0.2400  -0.03
O  0.9502  0.6211  0.2290  0.00
O  0.4416  0.6655  0.7571  -0.01
O  0.7583  0.1123  0.7109  -0.03
O  0.1011  0.4104  0.7895  0.00

Properties
Final energy (eV for the cell shown): -79.90


Cr4Ga3PbO12 | GGA+U | relaxed

Lattice parameters (Å, degrees): 6.5103 6.5103 6.5103 109.47 109.47 109.47
Each line ends with the local moment (μB).
Element x y z (fractional)
Cr  0.5000  0.0000  0.0000  2.88
Cr  0.5000  0.5000  0.5000  2.88
Cr  0.0000  0.5000  0.0000  2.88
Cr  0.0000  0.0000  0.5000  2.88
Ga  0.0000  0.5000  0.5000  0.02
Ga  0.5000  0.5000  0.0000  0.02
Ga  0.5000  0.0000  0.5000  0.02
Pb  0.0000  0.0000  0.0000  -0.06
O  0.3153  0.8201  0.1354  -0.06
O  0.6847  0.1799  0.8646  -0.06
O  0.6847  0.8201  0.5049  -0.06
O  0.8646  0.6847  0.1799  -0.06
O  0.8201  0.1354  0.3153  -0.06
O  0.1799  0.4951  0.3153  -0.06
O  0.4951  0.3153  0.1799  -0.06
O  0.1799  0.8646  0.6847  -0.06
O  0.3153  0.1799  0.4951  -0.06
O  0.1354  0.3153  0.8201  -0.06
O  0.8201  0.5049  0.6847  -0.06
O  0.5049  0.6847  0.8201  -0.06

Properties
Final energy (eV for the cell shown): -135.80


CrGa2PbO6 | GGA+U | relaxed

Lattice parameters (Å, degrees): 6.2552 7.2505 7.2505 102.82 74.53 74.53
Each line ends with the local moment (μB).
Element x y z (fractional)
Cr  0.2500  0.1979  0.8021  2.07
Cr  0.7500  0.8021  0.1979  2.07
Ga  0.3395  0.7043  0.5530  0.00
Ga  0.1605  0.4470  0.2957  0.00
Ga  0.6605  0.2957  0.4470  0.00
Ga  0.8395  0.5530  0.7043  0.00
Pb  0.2500  0.8948  0.1052  0.01
Pb  0.7500  0.1052  0.8948  0.01
O  0.2010  0.9568  0.7812  -0.03
O  0.2990  0.2188  0.0432  -0.03
O  0.7990  0.0432  0.2188  -0.03
O  0.7010  0.7812  0.9568  -0.03
O  0.4667  0.8259  0.3614  -0.02
O  0.0333  0.6386  0.1741  -0.02
O  0.5333  0.1741  0.6386  -0.02
O  0.9667  0.3614  0.8259  -0.02
O  0.0391  0.6744  0.5681  -0.01
O  0.4609  0.4319  0.3256  -0.01
O  0.9609  0.3256  0.4319  -0.01
O  0.5391  0.5681  0.6744  -0.01

Properties
Final energy (eV for the cell shown): -124.95


CrGaPbO6 | GGA+U | relaxed

Lattice parameters (Å, degrees): 4.6882 4.6882 9.4272 90.00 90.00 90.00
Each line ends with the local moment (μB).
Element x y z (fractional)
Cr  0.5000  0.5000  0.5003  1.65
Cr  0.0000  0.0000  0.0003  1.65
Ga  0.5000  0.5000  0.8336  0.02
Ga  0.0000  0.0000  0.3336  0.02
Pb  0.5000  0.5000  0.1671  0.03
Pb  0.0000  0.0000  0.6671  0.03
O  0.2159  0.7841  0.4878  -0.13
O  0.7841  0.2159  0.4878  -0.13
O  0.2841  0.2841  0.9878  -0.13
O  0.7159  0.7159  0.9878  -0.13
O  0.1760  0.8240  0.1602  -0.08
O  0.8240  0.1760  0.1602  -0.08
O  0.3240  0.3240  0.6602  -0.08
O  0.6760  0.6760  0.6602  -0.08
O  0.7990  0.2010  0.8515  -0.10
O  0.2010  0.7990  0.8515  -0.10
O  0.7010  0.7010  0.3515  -0.10
O  0.2990  0.2990  0.3515  -0.10

Properties
Final energy (eV for the cell shown): -109.13


CrGa2Pb3O8 | GGA+U | relaxed

Lattice parameters (Å, degrees): 5.6833 5.6833 7.0803 90.00 90.00 120.00
Each line ends with the local moment (μB).
Element x y z (fractional)
Cr  0.0000  0.0000  0.5000  2.25
Ga  0.3333  0.6667  0.2302  -0.01
Ga  0.6667  0.3333  0.7698  -0.01
Pb  0.3333  0.6667  0.6726  0.00
Pb  0.6667  0.3333  0.3274  0.00
Pb  0.0000  0.0000  0.0000  -0.01
O  0.3333  0.6667  0.9778  -0.01
O  0.6667  0.3333  0.0222  -0.01
O  0.1557  0.8443  0.3254  -0.04
O  0.8443  0.1557  0.6746  -0.04
O  0.1557  0.3115  0.3254  -0.04
O  0.8443  0.6885  0.6746  -0.04
O  0.6885  0.8443  0.3254  -0.04
O  0.3115  0.1557  0.6746  -0.04

Properties
Final energy (eV for the cell shown): -83.08


CrGaPdO6 | GGA+U | relaxed

Lattice parameters (Å, degrees): 4.5449 4.5449 9.1435 90.00 90.00 90.00
Each line ends with the local moment (μB).
Element x y z (fractional)
Cr  0.5000  0.5000  0.5004  2.13
Cr  0.0000  0.0000  0.0004  2.13
Ga  0.5000  0.5000  0.8332  0.02
Ga  0.0000  0.0000  0.3332  0.02
Pd  0.5000  0.5000  0.1662  -0.14
Pd  0.0000  0.0000  0.6662  -0.14
O  0.2011  0.7989  0.4971  -0.14
O  0.7989  0.2011  0.4971  -0.14
O  0.2989  0.2989  0.9971  -0.14
O  0.7011  0.7011  0.9971  -0.14
O  0.1906  0.8094  0.1634  -0.17
O  0.8094  0.1906  0.1634  -0.17
O  0.3094  0.3094  0.6634  -0.17
O  0.6906  0.6906  0.6634  -0.17
O  0.8076  0.1924  0.8396  -0.14
O  0.1924  0.8076  0.8396  -0.14
O  0.6924  0.6924  0.3396  -0.14
O  0.3076  0.3076  0.3396  -0.14

Properties
Final energy (eV for the cell shown): -110.07


Pm2CrGaO6 | GGA+U | relaxed

Lattice parameters (Å, degrees): 4.0078 5.4719 5.4719 90.00 90.00 90.00
Each line ends with the local moment (μB).
Element x y z (fractional)
Pm  0.0678  0.5000  0.0000  0.01
Pm  0.0678  0.0000  0.5000  0.01
Cr  0.6431  0.5000  0.5000  2.89
Ga  0.6274  0.0000  0.0000  -0.01
O  0.6840  0.2484  0.2484  0.00
O  0.6840  0.2484  0.7516  0.00
O  0.1520  0.5000  0.5000  -0.01
O  0.1527  0.0000  0.0000  0.00
O  0.6840  0.7516  0.7516  0.00
O  0.6840  0.7516  0.2484  0.00

Properties
Final energy (eV for the cell shown): -75.42


PmCr2GaO8 | GGA+U | relaxed

Lattice parameters (Å, degrees): 5.9046 5.9046 5.9046 106.16 106.16 116.32
Each line ends with the local moment (μB).
Element x y z (fractional)
Pm  0.0000  0.0000  0.0000  0.01
Cr  0.7500  0.2500  0.5000  1.05
Cr  0.5000  0.5000  0.0000  1.15
Ga  0.2500  0.7500  0.5000  0.10
O  0.3883  0.0667  0.3216  -0.06
O  0.3286  0.5225  0.1939  -0.02
O  0.3286  0.1347  0.8061  -0.02
O  0.7451  0.0667  0.6784  -0.06
O  0.8653  0.6714  0.1939  -0.02
O  0.9333  0.2549  0.3216  -0.06
O  0.9333  0.6117  0.6784  -0.06
O  0.4775  0.6714  0.8061  -0.02

Properties
Final energy (eV for the cell shown): -82.69


Magnetic moment across the listed records, respectively: 8.0; 11.0; 2.0; 1.0; 2.0; 1.0; 3.0; 2.0 μB per formula unit.